A relaxed CsYMo2O8 crystal. Source: Alexandria, functional PBE with a Hubbard U.

Cell: 6.0885 6.0885 8.4217 Å, 90.00 90.00 120.00°
Space group P-3m1 (No. 164)
Inequivalent atoms, fractional coordinates:
Cs 0.0000 0.0000 0.0000 [1 per cell]
Y 0.0000 0.0000 0.5000 [1 per cell]
Mo 0.3333 0.6667 0.2689 [2 per cell]
O 0.1705 0.3410 0.3370 [6 per cell]
O 0.3333 0.6667 0.0609 [2 per cell]

Calculated values
The magnetization is 0.000 μB per cell. The raw total energy is -7.292 eV per atom. The value obtained for the density of states at the Fermi level is 0.0 states/eV per cell.